Material: Fe3NiB
Method: DFT, PBE
State: relaxed

```
Fe3NiB
1.0
-0.5222 0.7578 -4.1672
3.6237 -2.0939 -0.8349
-2.1929 -3.6406 -0.3872
Ni B Fe
1 1 3
direct
0.0000 0.0000 0.0000 Ni
0.5000 0.5000 0.5000 B
0.0000 0.5000 0.0000 Fe
0.0000 0.0000 0.5000 Fe
0.5000 0.0000 0.0000 Fe
```

Formation energy, eV per formula unit: 8.225
DFT total energy, eV/f.u.: -29.62
E above lowest polymorph, meV/atom: 1283

Material: Y2OsCl
Method: DFT, PBE
State: relaxed

```
Y2OsCl
1.0
3.3400 0.0174 0.0000
-0.0173 3.3400 0.0000
0.0000 0.0000 9.5864
Cl Os Y
1 1 2
direct
0.0000 0.0000 0.4500 Cl
0.5000 0.5000 0.7989 Os
0.0000 0.0000 0.9607 Y
0.5000 0.5000 0.2904 Y
```

DFT total energy, eV/f.u.: -26.04
E above lowest polymorph, meV/atom: 872
E_form (uncorrected), eV per atom: -0.01

Material: CuAg2GeTe4
Method: DFT, PBE
State: relaxed

```
CuAg2GeTe4
1.0
-3.1316 -4.6565 -2.8566
4.7043 -0.6220 -4.1426
1.9069 -1.4219 7.1690
Cu Ag Ge Te
1 2 1 4
direct
0.9856 0.4856 0.9712 Cu
0.4864 0.9859 0.9722 Ag
0.2355 0.2358 0.4717 Ag
0.7359 0.7360 0.4718 Ge
0.6369 0.6099 0.7301 Te
0.8619 0.3788 0.2133 Te
0.3514 0.8348 0.2133 Te
0.0935 0.1202 0.7305 Te
```

DFT total energy, eV/f.u.: -27.65
E_form (uncorrected), eV per atom: -0.08

Material: VIrAu2
Method: DFT, PBE
State: relaxed

```
VIrAu2
1.0
0.0000 3.1913 3.1913
3.1913 0.0000 3.1913
3.1913 3.1913 0.0000
Ir Au V
1 2 1
direct
0.5000 0.5000 0.5000 Ir
0.2500 0.2500 0.2500 Au
0.7500 0.7500 0.7500 Au
0.0000 0.0000 0.0000 V
```

Formation energy, eV per formula unit: 1.007
DFT total energy, eV/f.u.: -23.53
E above lowest polymorph, meV/atom: 0

Material: Cr2GeMo
Method: DFT, PBE
State: relaxed

```
Cr2GeMo
1.0
-0.8621 -1.6512 -2.5553
3.8784 -1.3364 -0.4449
-0.8476 -3.2554 2.3896
Cr Mo Ge
2 1 1
direct
0.0000 0.0000 0.5000 Cr
0.0000 0.5000 0.0000 Cr
0.5000 0.5000 0.5000 Mo
0.5000 0.0000 0.0000 Ge
```

Formation energy, eV per formula unit: 0.142
DFT total energy, eV/f.u.: -34.55

Material: Pr5Dy6Th2
Method: DFT, PBE
State: relaxed

```
Pr5Dy6Th2
1.0
3.6102 0.0000 0.0000
0.0000 11.6241 0.0000
0.0000 0.0000 21.1149
Pr Dy Th
10 12 4
direct
0.5000 0.3082 0.4216 Pr
0.5000 0.6918 0.5784 Pr
0.5000 0.8082 0.0784 Pr
0.5000 0.1918 0.9216 Pr
0.5000 0.5630 0.2947 Pr
0.5000 0.4370 0.7053 Pr
0.5000 0.0630 0.2053 Pr
0.5000 0.9370 0.7947 Pr
0.5000 0.5000 0.0000 Pr
0.5000 0.0000 0.5000 Pr
0.0000 0.0620 0.3518 Dy
0.0000 0.9380 0.6482 Dy
0.0000 0.5620 0.1482 Dy
0.0000 0.4380 0.8518 Dy
0.5000 0.3137 0.1236 Dy
0.5000 0.6863 0.8764 Dy
0.5000 0.8137 0.3764 Dy
0.5000 0.1863 0.6236 Dy
0.0000 0.5813 0.4379 Dy
0.0000 0.4187 0.5621 Dy
0.0000 0.0813 0.0621 Dy
0.0000 0.9187 0.9379 Dy
0.0000 0.3098 0.2637 Th
0.0000 0.6902 0.7363 Th
0.0000 0.8098 0.2363 Th
0.0000 0.1902 0.7637 Th
```

Formation energy, eV per formula unit: 1.418
DFT total energy, eV/f.u.: -64.93

Material: Er7RhSe5
Method: DFT, PBE
State: relaxed

```
Er7RhSe5
1.0
3.9165 0.0000 0.0000
-1.9583 6.6516 0.0080
0.0000 -0.0288 24.2409
Er Rh Se
14 2 10
direct
0.4542 0.9085 0.2487 Er
0.5463 0.0927 0.7487 Er
0.6456 0.2912 0.0391 Er
0.3664 0.7328 0.9648 Er
0.3549 0.7099 0.5391 Er
0.6342 0.2683 0.4647 Er
0.2103 0.4207 0.1818 Er
0.8038 0.6077 0.8176 Er
0.7902 0.5804 0.6818 Er
0.1968 0.3936 0.3176 Er
0.9187 0.8374 0.1137 Er
0.1036 0.2072 0.8728 Er
0.0818 0.1636 0.6136 Er
0.8970 0.7941 0.3728 Er
0.8084 0.6168 0.2581 Rh
0.1922 0.3844 0.7581 Rh
0.0080 0.0161 0.9992 Se
0.7265 0.4530 0.9292 Se
0.2849 0.5698 0.0721 Se
0.5507 0.1013 0.3586 Se
0.4380 0.8760 0.6445 Se
0.9925 0.9850 0.4992 Se
0.2741 0.5482 0.4292 Se
0.7156 0.4312 0.5721 Se
0.4500 0.8999 0.8586 Se
0.5625 0.1250 0.1445 Se
```

DFT total energy, eV/f.u.: -75.80
E_form (uncorrected), eV per atom: -1.47

Material: KTc
Method: DFT, PBE
State: relaxed

```
KTc
1.0
14.6892 0.0000 0.0000
0.0000 14.6892 0.0000
0.0000 0.0000 3.4566
K Tc
8 8
direct
0.4659 0.7670 0.0000 K
0.5341 0.2330 0.0000 K
0.2330 0.4659 0.0000 K
0.7670 0.5341 0.0000 K
0.9659 0.2670 0.5000 K
0.0341 0.7330 0.5000 K
0.7330 0.9659 0.5000 K
0.2670 0.0341 0.5000 K
0.2985 0.2451 0.0000 Tc
0.7015 0.7549 0.0000 Tc
0.7549 0.2985 0.0000 Tc
0.2451 0.7015 0.0000 Tc
0.7985 0.7451 0.5000 Tc
0.2015 0.2549 0.5000 Tc
0.2549 0.7985 0.5000 Tc
0.7451 0.2015 0.5000 Tc
```

Formation energy, eV per formula unit: 2.384
DFT total energy, eV/f.u.: -9.08
E above lowest polymorph, meV/atom: 436

Material: La2ZnCoSn
Method: DFT, PBE
State: relaxed

```
La2ZnCoSn
1.0
-1.7203 1.6799 -4.7053
-3.6803 -3.7917 -0.0082
-3.1111 3.0149 2.2138
Zn Co Sn La
1 1 1 2
direct
0.5000 0.5000 0.5000 Zn
0.0000 0.0000 0.0000 Co
0.0000 0.0000 0.5000 Sn
0.0000 0.5000 0.0000 La
0.5000 0.0000 0.0000 La
```

Formation energy, eV per formula unit: -1.483
DFT total energy, eV/f.u.: -23.72
E above lowest polymorph, meV/atom: 89

Material: Nd4Y3ScS8
Method: DFT, PBE
State: relaxed

```
Nd4Y3ScS8
1.0
7.8723 0.0000 0.0000
0.0000 8.0085 0.0903
-3.9362 -3.9320 5.5693
Nd Y Sc S
4 3 1 8
direct
0.5000 0.0000 0.0000 Nd
0.5000 0.0000 0.5000 Nd
0.0000 0.0000 0.0000 Nd
0.0000 0.0000 0.5000 Nd
0.5000 0.5000 0.0000 Y
0.5000 0.5000 0.5000 Y
0.0000 0.5000 0.5000 Y
0.0000 0.5000 0.0000 Sc
0.2389 0.7290 0.9902 S
0.2389 0.7290 0.4777 S
0.2551 0.2653 0.5102 S
0.7513 0.7290 0.9902 S
0.2487 0.2710 0.0098 S
0.7449 0.7347 0.4898 S
0.7611 0.2710 0.5223 S
0.7611 0.2710 0.0098 S
```

DFT total energy, eV/f.u.: -109.57
E_form (uncorrected), eV per atom: -1.98

Material: TlP2OF
Method: DFT, PBE
State: relaxed

```
TlP2OF
1.0
-2.1824 -3.3716 3.4624
4.4168 -2.9335 -0.0726
1.5442 2.2467 3.1612
P Tl O F
2 1 1 1
direct
0.0000 0.5000 0.0000 P
0.5000 0.0000 0.0000 P
0.0000 0.0000 0.0000 Tl
0.0000 0.0000 0.5000 O
0.5000 0.5000 0.5000 F
```

DFT total energy, eV/f.u.: -14.96
E above lowest polymorph, meV/atom: 431
E_form (uncorrected), eV per atom: 1.01

Material: Lu2TcI
Method: DFT, PBE
State: relaxed

```
Lu2TcI
1.0
3.5009 0.0000 0.0000
0.0000 3.5009 0.0000
0.0000 0.0000 8.0516
I Lu Tc
1 2 1
direct
0.5000 0.5000 0.5000 I
0.0000 0.0000 0.8065 Lu
0.0000 0.0000 0.1935 Lu
0.5000 0.5000 0.0000 Tc
```

DFT total energy, eV/f.u.: -22.52
E_form (uncorrected), eV per atom: -0.39

Number 1: size of the total moment 9.67 μB/cell. Number 2: size of the total moment 0.59 μB/cell. Number 3: size of the total moment 0.00 μB/cell. Number 4: size of the total moment 1.63 μB/cell. Number 5: size of the total moment 2.07 μB/cell. Number 6: size of the total moment 0.00 μB/cell. Number 7: size of the total moment 0.00 μB/cell. Number 8: size of the total moment 0.00 μB/cell. Number 9: size of the total moment 0.00 μB/cell. Number 10: size of the total moment 0.00 μB/cell. Number 11: size of the total moment 2.94 μB/cell. Number 12: size of the total moment 0.00 μB/cell.